[1]
A plane-wave DFT calculation with PBE was carried out for a relaxed Si3BiH crystal.

Structure (CIF):
```
data_Si3BiH
_chemical_formula_sum 'Si3 Bi1 H1'
_cell_length_a 4.363
_cell_length_b 4.363
_cell_length_c 4.363
_cell_angle_alpha 90.00
_cell_angle_beta 90.00
_cell_angle_gamma 90.00
_symmetry_space_group_name_H-M 'P 1'
_symmetry_Int_Tables_number 1
_symmetry_space_group_name_Hall 'P 1'
loop_
_atom_site_label
_atom_site_fract_x
_atom_site_fract_y
_atom_site_fract_z
Bi1 0.500 0.500 0.500
Si1 0.500 0.000 0.000
H1 0.000 0.000 0.000
Si2 0.000 0.000 0.500
Si3 0.000 0.500 0.000
```

Output
**Space group**: Pm-3m
**Density of states at the Fermi level**: 2.7 states/eV per cell
**Uncorrected energy**: -19.71 eV per formula unit

=====

[2]
A plane-wave DFT calculation with PBE was carried out for a relaxed TiSi2BiH crystal.

Structure (CIF):
```
data_TiSi2BiH
_chemical_formula_sum 'Ti1 Si2 Bi1 H1'
_cell_length_a 4.735
_cell_length_b 3.628
_cell_length_c 4.735
_cell_angle_alpha 90.00
_cell_angle_beta 90.00
_cell_angle_gamma 90.00
_symmetry_space_group_name_H-M 'P 1'
_symmetry_Int_Tables_number 1
_symmetry_space_group_name_Hall 'P 1'
loop_
_atom_site_label
_atom_site_fract_x
_atom_site_fract_y
_atom_site_fract_z
Si1 0.000 0.000 0.500
Bi1 0.500 0.500 0.500
Si2 0.500 0.000 0.000
Ti1 0.000 0.500 0.000
H1 0.000 0.000 0.000
```

Output
**Space group**: P4/mmm
**Density of states at the Fermi level**: 2.7 states/eV per cell
**Uncorrected energy**: -24.10 eV per formula unit

=====

[3]
A plane-wave DFT calculation with PBE was carried out for a relaxed Sm2BiH2 crystal.

Structure (CIF):
```
data_Sm2BiH2
_chemical_formula_sum 'Sm4 Bi2 H4'
_cell_length_a 6.110
_cell_length_b 6.110
_cell_length_c 6.604
_cell_angle_alpha 105.45
_cell_angle_beta 105.45
_cell_angle_gamma 115.11
_symmetry_space_group_name_H-M 'P 1'
_symmetry_Int_Tables_number 1
_symmetry_space_group_name_Hall 'P 1'
loop_
_atom_site_label
_atom_site_fract_x
_atom_site_fract_y
_atom_site_fract_z
Sm1 0.443 0.057 0.250
Bi1 0.125 0.375 0.250
Sm2 0.807 0.693 0.250
H1 0.496 0.246 0.991
Bi2 0.875 0.625 0.750
H2 0.746 0.996 0.491
H3 0.504 0.754 0.009
Sm3 0.193 0.307 0.750
Sm4 0.557 0.943 0.750
H4 0.254 0.004 0.509
```

Output
**Space group**: Fddd
**Density of states at the Fermi level**: 4.4 states/eV per cell
**Uncorrected energy**: -23.44 eV per formula unit

=====

[4]
A plane-wave DFT calculation with PBE was carried out for a relaxed SmBiH2 crystal.

Structure (CIF):
```
data_SmBiH2
_chemical_formula_sum 'Sm2 Bi2 H4'
_cell_length_a 3.643
_cell_length_b 6.526
_cell_length_c 6.400
_cell_angle_alpha 90.00
_cell_angle_beta 90.00
_cell_angle_gamma 106.21
_symmetry_space_group_name_H-M 'P 1'
_symmetry_Int_Tables_number 1
_symmetry_space_group_name_Hall 'P 1'
loop_
_atom_site_label
_atom_site_fract_x
_atom_site_fract_y
_atom_site_fract_z
Bi1 0.043 0.085 0.750
Bi2 0.957 0.915 0.250
H1 0.306 0.612 0.557
Sm1 0.774 0.548 0.750
H2 0.306 0.612 0.943
H3 0.694 0.388 0.057
Sm2 0.226 0.452 0.250
H4 0.694 0.388 0.443
```

Output
**Space group**: Cmcm
**Density of states at the Fermi level**: 0.7 states/eV per cell
**Uncorrected energy**: -17.31 eV per formula unit

=====

[5]
A plane-wave DFT calculation with PBE was carried out for a relaxed Sm4BiH crystal.

Structure (CIF):
```
data_Sm4BiH
_chemical_formula_sum 'Sm8 Bi2 H2'
_cell_length_a 6.230
_cell_length_b 7.237
_cell_length_c 8.182
_cell_angle_alpha 106.49
_cell_angle_beta 112.38
_cell_angle_gamma 90.00
_symmetry_space_group_name_H-M 'P 1'
_symmetry_Int_Tables_number 1
_symmetry_space_group_name_Hall 'P 1'
loop_
_atom_site_label
_atom_site_fract_x
_atom_site_fract_y
_atom_site_fract_z
Sm1 0.512 0.455 0.200
Sm2 0.726 0.847 0.633
Bi1 0.880 0.250 0.000
Sm3 0.688 0.955 0.200
H1 0.000 0.000 0.500
Sm4 0.907 0.347 0.633
Sm5 0.488 0.545 0.800
Sm6 0.312 0.045 0.800
H2 0.500 0.500 0.500
Bi2 0.120 0.750 0.000
Sm7 0.093 0.653 0.367
Sm8 0.274 0.153 0.367
```

Output
**Space group**: C2/c
**Density of states at the Fermi level**: 11.3 states/eV per cell
**Uncorrected energy**: -27.94 eV per formula unit

=====

[6]
A plane-wave DFT calculation with PBE was carried out for a relaxed Sm3BiH2 crystal.

Structure (CIF):
```
data_Sm3BiH2
_chemical_formula_sum 'Sm6 Bi2 H4'
_cell_length_a 4.079
_cell_length_b 6.368
_cell_length_c 11.737
_cell_angle_alpha 107.79
_cell_angle_beta 100.01
_cell_angle_gamma 90.00
_symmetry_space_group_name_H-M 'P 1'
_symmetry_Int_Tables_number 1
_symmetry_space_group_name_Hall 'P 1'
loop_
_atom_site_label
_atom_site_fract_x
_atom_site_fract_y
_atom_site_fract_z
H1 0.059 0.184 0.118
Sm1 0.770 0.750 0.540
Bi1 0.650 0.890 0.301
H2 0.292 0.604 0.584
H3 0.941 0.816 0.882
Bi2 0.350 0.110 0.699
Sm2 0.230 0.250 0.460
Sm3 0.040 0.800 0.079
Sm4 0.399 0.653 0.799
Sm5 0.601 0.347 0.201
Sm6 0.960 0.200 0.921
H4 0.708 0.396 0.416
```

Output
**Space group**: C2/m
**Density of states at the Fermi level**: 7.7 states/eV per cell
**Uncorrected energy**: -27.84 eV per formula unit

=====

[7]
A plane-wave DFT calculation with PBE was carried out for a relaxed Sm3Bi2H2 crystal.

Structure (CIF):
```
data_Sm3Bi2H2
_chemical_formula_sum 'Sm6 Bi4 H4'
_cell_length_a 8.323
_cell_length_b 6.280
_cell_length_c 6.601
_cell_angle_alpha 90.00
_cell_angle_beta 68.98
_cell_angle_gamma 90.00
_symmetry_space_group_name_H-M 'P 1'
_symmetry_Int_Tables_number 1
_symmetry_space_group_name_Hall 'P 1'
loop_
_atom_site_label
_atom_site_fract_x
_atom_site_fract_y
_atom_site_fract_z
Sm1 0.211 0.869 0.371
H1 0.431 0.608 0.356
Sm2 0.500 0.500 0.000
H2 0.569 0.392 0.644
Bi1 0.898 0.597 0.784
Sm3 0.289 0.369 0.629
Bi2 0.398 0.903 0.784
Bi3 0.602 0.097 0.216
Sm4 0.789 0.131 0.629
H3 0.931 0.892 0.356
H4 0.069 0.108 0.644
Sm5 0.711 0.631 0.371
Sm6 0.000 0.000 0.000
Bi4 0.102 0.403 0.216
```

Output
**Space group**: P2_1/c
**Density of states at the Fermi level**: 8.1 states/eV per cell
**Uncorrected energy**: -33.42 eV per formula unit

=====

[8]
A plane-wave DFT calculation with PBE was carried out for a relaxed Sm6Bi5H crystal.

Structure (CIF):
```
data_Sm6Bi5H
_chemical_formula_sum 'Sm6 Bi5 H1'
_cell_length_a 7.793
_cell_length_b 7.765
_cell_length_c 7.742
_cell_angle_alpha 59.90
_cell_angle_beta 80.35
_cell_angle_gamma 70.48
_symmetry_space_group_name_H-M 'P 1'
_symmetry_Int_Tables_number 1
_symmetry_space_group_name_Hall 'P 1'
loop_
_atom_site_label
_atom_site_fract_x
_atom_site_fract_y
_atom_site_fract_z
H1 0.000 0.000 0.000
Sm1 0.755 0.081 0.331
Sm2 0.743 0.753 0.000
Sm3 0.755 0.412 0.669
Bi1 0.500 0.500 0.000
Bi2 0.500 0.171 0.658
Bi3 0.000 0.665 0.670
Bi4 0.500 0.829 0.342
Sm4 0.257 0.247 0.000
Sm5 0.245 0.919 0.669
Bi5 0.000 0.335 0.330
Sm6 0.245 0.588 0.331
```

Output
**Space group**: C2/m
**Density of states at the Fermi level**: 4.4 states/eV per cell
**Uncorrected energy**: -59.65 eV per formula unit

=====

[9]
A plane-wave DFT calculation with PBE was carried out for a relaxed Sm3BiH crystal.

Structure (CIF):
```
data_Sm3BiH
_chemical_formula_sum 'Sm3 Bi1 H1'
_cell_length_a 4.948
_cell_length_b 4.948
_cell_length_c 4.948
_cell_angle_alpha 90.00
_cell_angle_beta 90.00
_cell_angle_gamma 90.00
_symmetry_space_group_name_H-M 'P 1'
_symmetry_Int_Tables_number 1
_symmetry_space_group_name_Hall 'P 1'
loop_
_atom_site_label
_atom_site_fract_x
_atom_site_fract_y
_atom_site_fract_z
Sm1 0.000 0.500 0.000
Sm2 0.500 0.000 0.000
H1 0.000 0.000 0.000
Sm3 0.000 0.000 0.500
Bi1 0.500 0.500 0.500
```

Output
**Space group**: Pm-3m
**Density of states at the Fermi level**: 4.2 states/eV per cell
**Uncorrected energy**: -23.82 eV per formula unit

=====

[10]
A plane-wave DFT calculation with PBE was carried out for a relaxed Sm4Bi5H2 crystal.

Structure (CIF):
```
data_Sm4Bi5H2
_chemical_formula_sum 'Sm4 Bi5 H2'
_cell_length_a 4.158
_cell_length_b 9.301
_cell_length_c 8.630
_cell_angle_alpha 93.55
_cell_angle_beta 103.94
_cell_angle_gamma 90.00
_symmetry_space_group_name_H-M 'P 1'
_symmetry_Int_Tables_number 1
_symmetry_space_group_name_Hall 'P 1'
loop_
_atom_site_label
_atom_site_fract_x
_atom_site_fract_y
_atom_site_fract_z
H1 0.423 0.292 0.847
Bi1 0.865 0.531 0.730
Bi2 0.500 0.000 0.000
Bi3 0.135 0.469 0.270
Sm1 0.021 0.735 0.042
Sm2 0.290 0.293 0.580
Bi4 0.829 0.003 0.659
Sm3 0.979 0.265 0.958
H2 0.577 0.708 0.153
Bi5 0.171 0.997 0.341
Sm4 0.710 0.707 0.420
```

Output
**Space group**: C2/m
**Density of states at the Fermi level**: 3.5 states/eV per cell
**Uncorrected energy**: -50.79 eV per formula unit

=====

[11]
A plane-wave DFT calculation with PBE was carried out for a relaxed Sm4Bi3H2 crystal.

Structure (CIF):
```
data_Sm4Bi3H2
_chemical_formula_sum 'Sm8 Bi6 H4'
_cell_length_a 7.436
_cell_length_b 8.184
_cell_length_c 8.184
_cell_angle_alpha 77.45
_cell_angle_beta 81.14
_cell_angle_gamma 81.14
_symmetry_space_group_name_H-M 'P 1'
_symmetry_Int_Tables_number 1
_symmetry_space_group_name_Hall 'P 1'
loop_
_atom_site_label
_atom_site_fract_x
_atom_site_fract_y
_atom_site_fract_z
Sm1 0.117 0.267 0.394
Sm2 0.518 0.074 0.707
Sm3 0.617 0.394 0.267
Bi1 0.115 0.975 0.733
Bi2 0.615 0.733 0.975
Sm4 0.883 0.733 0.606
Sm5 0.482 0.926 0.293
Bi3 0.750 0.386 0.614
H1 0.436 0.169 0.430
Bi4 0.885 0.025 0.267
Sm6 0.383 0.606 0.733
Bi5 0.250 0.614 0.386
H2 0.936 0.430 0.169
H3 0.064 0.570 0.831
H4 0.564 0.831 0.570
Sm7 0.018 0.707 0.074
Sm8 0.982 0.293 0.926
Bi6 0.385 0.267 0.025
```

Output
**Space group**: C2/c
**Density of states at the Fermi level**: 4.9 states/eV per cell
**Uncorrected energy**: -43.59 eV per formula unit

=====

[12]
A plane-wave DFT calculation with PBE was carried out for a relaxed Sm12Bi3H5 crystal.

Structure (CIF):
```
data_Sm12Bi3H5
_chemical_formula_sum 'Sm48 Bi12 H20'
_cell_length_a 13.953
_cell_length_b 13.953
_cell_length_c 13.953
_cell_angle_alpha 109.47
_cell_angle_beta 109.47
_cell_angle_gamma 109.47
_symmetry_space_group_name_H-M 'P 1'
_symmetry_Int_Tables_number 1
_symmetry_space_group_name_Hall 'P 1'
loop_
_atom_site_label
_atom_site_fract_x
_atom_site_fract_y
_atom_site_fract_z
H1 0.000 0.000 0.000
Sm1 0.096 0.194 0.204
H2 0.750 0.625 0.375
Sm2 0.108 0.704 0.511
Bi1 0.750 0.875 0.625
Sm3 0.403 0.392 0.596
H3 0.375 0.250 0.125
Sm4 0.903 0.806 0.511
H4 0.750 0.125 0.875
Sm5 0.306 0.511 0.403
Sm6 0.296 0.892 0.989
Sm7 0.306 0.796 0.404
Sm8 0.904 0.806 0.796
H5 0.500 0.500 0.000
H6 0.875 0.250 0.625
Bi2 0.625 0.375 0.750
Bi3 0.375 0.625 0.250
Sm9 0.904 0.097 0.608
Bi4 0.125 0.875 0.750
Bi5 0.750 0.375 0.125
Sm10 0.404 0.296 0.306
Sm11 0.489 0.694 0.097
Sm12 0.204 0.694 0.096
Sm13 0.404 0.108 0.597
Sm14 0.694 0.489 0.597
Sm15 0.796 0.306 0.904
Sm16 0.296 0.404 0.806
H7 0.500 0.000 0.500
H8 0.000 0.000 0.500
Sm17 0.892 0.596 0.903
Sm18 0.704 0.596 0.194
H9 0.250 0.875 0.125
Sm19 0.806 0.904 0.296
Sm20 0.704 0.108 0.011
Sm21 0.806 0.903 0.011
Sm22 0.597 0.608 0.404
H10 0.875 0.625 0.750
Sm23 0.097 0.194 0.489
Sm24 0.796 0.489 0.392
Sm25 0.194 0.097 0.989
Sm26 0.108 0.404 0.097
H11 0.625 0.875 0.250
Sm27 0.011 0.608 0.704
Sm28 0.403 0.011 0.306
H12 0.000 0.500 0.000
Sm29 0.204 0.511 0.608
H13 0.250 0.375 0.625
Bi6 0.875 0.750 0.125
Sm30 0.489 0.796 0.892
Sm31 0.903 0.096 0.892
Bi7 0.250 0.125 0.375
H14 0.500 0.500 0.500
Bi8 0.375 0.750 0.625
Sm32 0.608 0.597 0.904
H15 0.125 0.750 0.375
Bi9 0.625 0.250 0.375
Sm33 0.392 0.989 0.796
Sm34 0.194 0.096 0.704
Sm35 0.511 0.306 0.903
Sm36 0.892 0.296 0.489
H16 0.375 0.125 0.750
Sm37 0.608 0.011 0.204
Sm38 0.097 0.904 0.108
Sm39 0.596 0.704 0.694
Sm40 0.989 0.392 0.296
Sm41 0.392 0.403 0.096
Sm42 0.096 0.903 0.392
Sm43 0.597 0.989 0.694
Bi10 0.875 0.125 0.250
H17 0.625 0.750 0.875
Sm44 0.596 0.892 0.403
Sm45 0.989 0.597 0.194
Sm46 0.511 0.204 0.108
Bi11 0.250 0.625 0.875
Sm47 0.694 0.204 0.596
Bi12 0.125 0.250 0.875
H18 0.000 0.500 0.500
H19 0.500 0.000 0.000
Sm48 0.011 0.403 0.806
H20 0.125 0.375 0.250
```

Output
**Space group**: Ia-3d
**Density of states at the Fermi level**: 69.7 states/eV per cell
**Uncorrected energy**: -91.82 eV per formula unit